[1]
VASP calculation (PBEsol) on a relaxed Re2IrAu crystal. Values from VASP.

```
&SYSTEM
  ibrav = 0, nat = 4, ntyp = 3
/
ATOMIC_SPECIES
Re 186.21 Re.upf
Au 196.97 Au.upf
Ir 192.22 Ir.upf
CELL_PARAMETERS angstrom
4.409 0.000 0.000
2.205 3.819 0.000
2.205 1.273 3.600
ATOMIC_POSITIONS crystal
Re 0.250 0.250 0.250
Re 0.750 0.750 0.750
Au 0.000 0.000 0.000
Ir 0.500 0.500 0.500
```

* space-group type: Fm-3m, No. 225
* energy above the lowest structure with this stoichiometry: 539 meV/atom
* density of states at the Fermi level: 1.397 states/eV/atom
* magnetization: 0.0 μB per formula unit
* final energy: -9.34 eV/atom
* formation energy from the elements: 0.77 eV per atom

[2]
VASP calculation (PBEsol) on a relaxed ReIr2Au crystal. Values from VASP.

```
&SYSTEM
  ibrav = 0, nat = 4, ntyp = 3
/
ATOMIC_SPECIES
Re 186.21 Re.upf
Ir 192.22 Ir.upf
Au 196.97 Au.upf
CELL_PARAMETERS angstrom
-1.940 -1.889 -0.435
-0.372 -2.026 1.810
-6.778 3.828 4.967
ATOMIC_POSITIONS crystal
Re 0.496 0.496 0.513
Ir 0.752 0.752 0.745
Ir 0.003 0.003 0.991
Au 0.250 0.250 0.251
```

* space-group type: R3m, No. 160
* energy above the lowest structure with this stoichiometry: 0 meV/atom
* density of states at the Fermi level: 0.800 states/eV/atom
* magnetization: 0.0 μB per formula unit
* final energy: -9.09 eV/atom
* formation energy from the elements: 0.14 eV per atom

[3]
VASP calculation (PBEsol) on a relaxed Re2IrAu crystal. Values from VASP.

```
&SYSTEM
  ibrav = 0, nat = 4, ntyp = 3
/
ATOMIC_SPECIES
Ir 192.22 Ir.upf
Re 186.21 Re.upf
Au 196.97 Au.upf
CELL_PARAMETERS angstrom
3.837 0.000 0.000
0.000 3.837 0.000
0.000 0.000 4.016
ATOMIC_POSITIONS crystal
Ir 0.000 0.000 0.500
Re 0.500 0.000 0.000
Re 0.000 0.500 0.000
Au 0.500 0.500 0.500
```

* space-group type: P4/mmm, No. 123
* energy above the lowest structure with this stoichiometry: 140 meV/atom
* density of states at the Fermi level: 1.105 states/eV/atom
* magnetization: 0.0 μB per formula unit
* final energy: -9.74 eV/atom
* formation energy from the elements: 0.37 eV per atom

[4]
VASP calculation (PBEsol) on a relaxed ReIr2Au crystal. Values from VASP.

```
&SYSTEM
  ibrav = 0, nat = 4, ntyp = 3
/
ATOMIC_SPECIES
Au 196.97 Au.upf
Re 186.21 Re.upf
Ir 192.22 Ir.upf
CELL_PARAMETERS angstrom
2.738 0.000 0.000
0.000 4.698 0.000
0.000 0.000 4.698
ATOMIC_POSITIONS crystal
Au 0.500 0.000 0.000
Re 0.500 0.500 0.500
Ir 0.000 0.500 0.000
Ir 0.000 0.000 0.500
```

* space-group type: P4/mmm, No. 123
* energy above the lowest structure with this stoichiometry: 389 meV/atom
* density of states at the Fermi level: 1.156 states/eV/atom
* magnetization: 0.0 μB per formula unit
* final energy: -8.70 eV/atom
* formation energy from the elements: 0.53 eV per atom

[5]
VASP calculation (PBEsol) on a relaxed Re2IrAu crystal. Values from VASP.

```
&SYSTEM
  ibrav = 0, nat = 4, ntyp = 3
/
ATOMIC_SPECIES
Ir 192.22 Ir.upf
Au 196.97 Au.upf
Re 186.21 Re.upf
CELL_PARAMETERS angstrom
2.718 0.000 0.000
0.000 2.718 0.000
0.000 0.000 8.062
ATOMIC_POSITIONS crystal
Ir 0.500 0.500 0.500
Au 0.500 0.500 0.000
Re 0.000 0.000 0.261
Re 0.000 0.000 0.739
```

* space-group type: P4/mmm, No. 123
* energy above the lowest structure with this stoichiometry: 0 meV/atom
* density of states at the Fermi level: 0.835 states/eV/atom
* magnetization: 0.0 μB per formula unit
* final energy: -9.88 eV/atom
* formation energy from the elements: 0.23 eV per atom

[6]
VASP calculation (PBEsol) on a relaxed ReIr2Au crystal. Values from VASP.

```
&SYSTEM
  ibrav = 0, nat = 4, ntyp = 3
/
ATOMIC_SPECIES
Au 196.97 Au.upf
Ir 192.22 Ir.upf
Re 186.21 Re.upf
CELL_PARAMETERS angstrom
3.829 0.000 0.000
0.000 3.927 0.000
0.000 0.000 3.927
ATOMIC_POSITIONS crystal
Au 0.500 0.000 0.000
Ir 0.000 0.500 0.000
Re 0.500 0.500 0.500
Ir 0.000 0.000 0.500
```

* space-group type: P4/mmm, No. 123
* energy above the lowest structure with this stoichiometry: 264 meV/atom
* density of states at the Fermi level: 1.321 states/eV/atom
* magnetization: 0.0 μB per formula unit
* final energy: -8.82 eV/atom
* formation energy from the elements: 0.40 eV per atom

[7]
VASP calculation (PBEsol) on a relaxed Sr2ReIrAu crystal. Values from VASP.

```
&SYSTEM
  ibrav = 0, nat = 5, ntyp = 4
/
ATOMIC_SPECIES
Re 186.21 Re.upf
Sr 87.62 Sr.upf
Ir 192.22 Ir.upf
Au 196.97 Au.upf
CELL_PARAMETERS angstrom
4.767 0.000 0.000
0.000 5.563 0.000
0.000 0.000 5.563
ATOMIC_POSITIONS crystal
Re 0.000 0.000 0.000
Sr 0.000 0.500 0.000
Sr 0.000 0.000 0.500
Ir 0.500 0.500 0.500
Au 0.500 0.000 0.000
```

* space-group type: P4/mmm, No. 123
* density of states at the Fermi level: 0.932 states/eV/atom
* magnetization: 1.5 μB per formula unit
* final energy: -4.64 eV/atom
* formation energy from the elements: 1.51 eV per atom

[8]
VASP calculation (PBEsol) on a relaxed ReTe2IrAu crystal. Values from VASP.

```
&SYSTEM
  ibrav = 0, nat = 5, ntyp = 4
/
ATOMIC_SPECIES
Te 127.60 Te.upf
Ir 192.22 Ir.upf
Re 186.21 Re.upf
Au 196.97 Au.upf
CELL_PARAMETERS angstrom
4.809 0.000 0.000
0.000 5.044 0.000
0.000 0.000 5.044
ATOMIC_POSITIONS crystal
Te 0.000 0.500 0.000
Te 0.000 0.000 0.500
Ir 0.500 0.000 0.000
Re 0.000 0.000 0.000
Au 0.500 0.500 0.500
```

* space-group type: P4/mmm, No. 123
* density of states at the Fermi level: 1.202 states/eV/atom
* formation energy without anion corrections: 1.330 eV/atom
* magnetization: 0.0 μB per formula unit
* final energy: -5.50 eV/atom

[9]
VASP calculation (PBEsol) on a relaxed Ir2RhAu crystal. Values from VASP.

```
&SYSTEM
  ibrav = 0, nat = 4, ntyp = 3
/
ATOMIC_SPECIES
Rh 102.91 Rh.upf
Ir 192.22 Ir.upf
Au 196.97 Au.upf
CELL_PARAMETERS angstrom
-2.737 0.092 -0.043
-1.452 -2.308 0.258
-1.501 0.326 8.991
ATOMIC_POSITIONS crystal
Rh 0.496 0.496 0.511
Ir 0.750 0.750 0.749
Au 0.249 0.249 0.252
Ir 0.004 0.004 0.988
```

* space-group type: R3m, No. 160
* energy above the lowest structure with this stoichiometry: 0 meV/atom
* density of states at the Fermi level: 1.057 states/eV/atom
* magnetization: 0.0 μB per formula unit
* final energy: -7.81 eV/atom
* formation energy from the elements: 0.12 eV per atom

[10]
VASP calculation (PBEsol) on a relaxed Ir2RhAu crystal. Values from VASP.

```
&SYSTEM
  ibrav = 0, nat = 4, ntyp = 3
/
ATOMIC_SPECIES
Ir 192.22 Ir.upf
Au 196.97 Au.upf
Rh 102.91 Rh.upf
CELL_PARAMETERS angstrom
-2.706 0.723 2.679
-2.774 -0.594 -2.641
2.658 -3.815 0.910
ATOMIC_POSITIONS crystal
Ir 0.750 0.250 0.500
Ir 0.000 0.000 0.000
Au 0.250 0.750 0.500
Rh 0.500 0.500 0.000
```

* space-group type: I-4m2, No. 119
* energy above the lowest structure with this stoichiometry: 127 meV/atom
* density of states at the Fermi level: 1.095 states/eV/atom
* magnetization: 0.0 μB per formula unit
* final energy: -7.68 eV/atom
* formation energy from the elements: 0.25 eV per atom

[11]
VASP calculation (PBEsol) on a relaxed IrRh2Au crystal. Values from VASP.

```
&SYSTEM
  ibrav = 0, nat = 4, ntyp = 3
/
ATOMIC_SPECIES
Rh 102.91 Rh.upf
Ir 192.22 Ir.upf
Au 196.97 Au.upf
CELL_PARAMETERS angstrom
2.744 0.000 0.000
-1.372 4.514 0.002
0.000 -0.851 4.657
ATOMIC_POSITIONS crystal
Rh 0.745 0.489 0.244
Rh 0.998 0.997 0.994
Ir 0.256 0.513 0.767
Au 0.501 0.001 0.496
```

* space-group type: Cm, No. 8
* energy above the lowest structure with this stoichiometry: 115 meV/atom
* density of states at the Fermi level: 1.165 states/eV/atom
* magnetization: 0.0 μB per formula unit
* final energy: -7.34 eV/atom
* formation energy from the elements: 0.17 eV per atom

[12]
VASP calculation (PBEsol) on a relaxed IrRh2Au crystal. Values from VASP.

```
&SYSTEM
  ibrav = 0, nat = 4, ntyp = 3
/
ATOMIC_SPECIES
Ir 192.22 Ir.upf
Rh 102.91 Rh.upf
Au 196.97 Au.upf
CELL_PARAMETERS angstrom
2.729 0.000 0.000
0.000 2.729 0.000
0.000 0.000 7.766
ATOMIC_POSITIONS crystal
Ir 0.500 0.500 0.500
Rh 0.000 0.000 0.267
Rh 0.000 0.000 0.733
Au 0.500 0.500 0.000
```

* space-group type: P4/mmm, No. 123
* energy above the lowest structure with this stoichiometry: 0 meV/atom
* density of states at the Fermi level: 0.892 states/eV/atom
* magnetization: 0.0 μB per formula unit
* final energy: -7.45 eV/atom
* formation energy from the elements: 0.05 eV per atom

[13]
VASP calculation (PBEsol) on a relaxed IrRh2Au crystal. Values from VASP.

```
&SYSTEM
  ibrav = 0, nat = 4, ntyp = 3
/
ATOMIC_SPECIES
Rh 102.91 Rh.upf
Au 196.97 Au.upf
Ir 192.22 Ir.upf
CELL_PARAMETERS angstrom
2.730 0.000 0.000
1.365 2.365 0.000
1.365 0.788 8.952
ATOMIC_POSITIONS crystal
Rh 0.254 0.254 0.239
Rh 0.746 0.746 0.761
Au 0.500 0.500 0.500
Ir 0.000 0.000 0.000
```

* space-group type: R-3m, No. 166
* energy above the lowest structure with this stoichiometry: 23 meV/atom
* density of states at the Fermi level: 1.140 states/eV/atom
* magnetization: 0.0 μB per formula unit
* final energy: -7.43 eV/atom
* formation energy from the elements: 0.08 eV per atom

[14]
VASP calculation (PBEsol) on a relaxed Ir2RhAu crystal. Values from VASP.

```
&SYSTEM
  ibrav = 0, nat = 4, ntyp = 3
/
ATOMIC_SPECIES
Ir 192.22 Ir.upf
Rh 102.91 Rh.upf
Au 196.97 Au.upf
CELL_PARAMETERS angstrom
2.699 0.000 0.000
0.000 4.624 0.000
-1.350 -2.312 4.775
ATOMIC_POSITIONS crystal
Ir 0.767 0.767 0.534
Rh 0.500 0.000 0.000
Au 0.000 0.500 0.000
Ir 0.233 0.233 0.466
```

* space-group type: Immm, No. 71
* energy above the lowest structure with this stoichiometry: 203 meV/atom
* density of states at the Fermi level: 0.971 states/eV/atom
* magnetization: 0.0 μB per formula unit
* final energy: -7.61 eV/atom
* formation energy from the elements: 0.32 eV per atom

[15]
VASP calculation (PBEsol) on a relaxed IrRh2Au crystal. Values from VASP.

```
&SYSTEM
  ibrav = 0, nat = 4, ntyp = 3
/
ATOMIC_SPECIES
Rh 102.91 Rh.upf
Ir 192.22 Ir.upf
Au 196.97 Au.upf
CELL_PARAMETERS angstrom
4.367 0.000 0.000
2.183 3.782 0.000
2.183 1.261 3.565
ATOMIC_POSITIONS crystal
Rh 0.750 0.750 0.750
Ir 0.500 0.500 0.500
Au 0.000 0.000 0.000
Rh 0.250 0.250 0.250
```

* space-group type: Fm-3m, No. 225
* energy above the lowest structure with this stoichiometry: 395 meV/atom
* density of states at the Fermi level: 2.113 states/eV/atom
* magnetization: 0.7 μB per formula unit
* final energy: -7.06 eV/atom
* formation energy from the elements: 0.45 eV per atom